The following is a PBE calculation of a relaxed structure of BaAl2Ni, from the Alexandria database.

energy of formation: -13 kJ/mol of atoms
spin magnetization: 0.0 μB/cell
DOS(E_F): 0.663 states/eV per atom
raw total energy: -15.7 eV per cell

POSCAR file:
```
BaAl2Ni
1.0
3.180 0.000 0.000
0.000 3.180 0.000
0.000 0.000 8.118
Ba Al Ni
1 2 1
Cartesian
0.000 0.000 0.000
1.590 1.590 2.742
1.590 1.590 5.376
0.000 0.000 4.059
```